{"formula": "CoMo2PdF", "functional": "GGA+U", "state": "optimized geometry", "n_ef_per_ev_atom": 0.818, "total_energy_ev_per_atom": -4.2739, "sg": "P4/mmm", "lattice_angstrom": [[4.2103, 0.0000, 0.0000], [0.0000, 4.2103, 0.0000], [0.0000, 0.0000, 4.7108]], "species": ["Co", "Mo", "Mo", "Pd", "F"], "fractional_positions": [[0.0000, 0.0000, 0.0000], [0.0000, 0.5000, 0.5000], [0.5000, 0.0000, 0.5000], [0.5000, 0.5000, 0.0000], [0.5000, 0.5000, 0.5000]]}